Entry from Alexandria: a geometry-optimized LiTb2ErS5 structure (PBE-GGA).

Computed properties:
Symmetry: Cmc2_1, No. 36
Energy relative to the elements, uncorrected: -1.89 eV/atom
Total magnetic moment: 0.00 μB per formula unit

CIF file:
```
data_LiTb2ErS5
_space_group_name_H-M_alt 'P 1'
_space_group_IT_number 1
_space_group_name_Hall 'P 1'
_cell_length_a 3.8909
_cell_length_b 8.3203
_cell_length_c 11.7578
_cell_angle_alpha 90.00
_cell_angle_beta 90.00
_cell_angle_gamma 103.52
loop_
_atom_site_label
_atom_site_fract_x
_atom_site_fract_y
_atom_site_fract_z
S1 0.6923 0.3846 0.8423
S2 0.5000 0.0001 0.2838
S3 0.0465 0.0931 0.0737
Tb1 0.1244 0.2488 0.2943
S4 0.3630 0.7261 0.0001
S5 0.2861 0.5722 0.6624
Tb2 0.8927 0.7854 0.1844
Tb3 0.8756 0.7512 0.7943
S6 0.5000 0.9999 0.7838
Er1 0.1971 0.3942 0.0017
Li1 0.5137 0.0275 0.9812
S7 0.7139 0.4278 0.1624
Li2 0.4863 0.9725 0.4812
S8 0.3077 0.6154 0.3423
Er2 0.8029 0.6058 0.5017
S9 0.6370 0.2739 0.5001
Tb4 0.1073 0.2146 0.6844
S10 0.9535 0.9069 0.5737
```


Entry from Alexandria: a geometry-optimized LiTbEr4S8 structure (PBE-GGA).

Computed properties:
Symmetry: R3m, No. 160
Energy relative to the elements, uncorrected: -1.97 eV/atom
Total magnetic moment: 0.00 μB per formula unit

CIF file:
```
data_LiTbEr4S8
_space_group_name_H-M_alt 'P 1'
_space_group_IT_number 1
_space_group_name_Hall 'P 1'
_cell_length_a 7.9450
_cell_length_b 7.9450
_cell_length_c 7.9769
_cell_angle_alpha 60.13
_cell_angle_beta 60.13
_cell_angle_gamma 60.00
loop_
_atom_site_label
_atom_site_fract_x
_atom_site_fract_y
_atom_site_fract_z
S1 0.7692 0.2452 0.7404
S2 0.7563 0.7563 0.2616
S3 0.2452 0.7692 0.7404
Er1 0.6255 0.6255 0.1236
Er2 0.4860 0.0047 0.5046
S4 0.2258 0.7563 0.2616
Li1 0.3750 0.3750 0.8751
Er3 0.0047 0.4860 0.5046
S5 0.2452 0.2452 0.7404
S6 0.7586 0.7586 0.7242
S7 0.7563 0.2258 0.2616
Er4 0.0047 0.0047 0.5046
Tb1 0.0045 0.0045 0.9866
S8 0.2431 0.2431 0.2708
```


Entry from Alexandria: a geometry-optimized Li2TbErS4 structure (PBE-GGA).

Computed properties:
Symmetry: P2/m, No. 10
Energy relative to the elements, uncorrected: -1.85 eV/atom
Total magnetic moment: 0.00 μB per formula unit

CIF file:
```
data_Li2TbErS4
_space_group_name_H-M_alt 'P 1'
_space_group_IT_number 1
_space_group_name_Hall 'P 1'
_cell_length_a 3.9068
_cell_length_b 6.7637
_cell_length_c 6.5665
_cell_angle_alpha 110.03
_cell_angle_beta 90.00
_cell_angle_gamma 90.00
loop_
_atom_site_label
_atom_site_fract_x
_atom_site_fract_y
_atom_site_fract_z
S1 0.5000 0.2530 0.2508
Er1 0.5000 0.5000 0.0000
S2 0.0000 0.7466 0.2494
Li1 0.5000 0.0000 0.5000
Tb1 0.0000 0.0000 0.0000
Li2 0.0000 0.5000 0.5000
S3 0.0000 0.2534 0.7506
S4 0.5000 0.7470 0.7492
```


Entry from Alexandria: a geometry-optimized LiTb3Er4S8 structure (PBE-GGA).

Computed properties:
Symmetry: R-3m, No. 166
Energy relative to the elements, uncorrected: -1.95 eV/atom
Total magnetic moment: 0.00 μB per formula unit

CIF file:
```
data_LiTb3Er4S8
_space_group_name_H-M_alt 'P 1'
_space_group_IT_number 1
_space_group_name_Hall 'P 1'
_cell_length_a 7.7609
_cell_length_b 7.7601
_cell_length_c 7.7611
_cell_angle_alpha 120.00
_cell_angle_beta 120.00
_cell_angle_gamma 90.00
loop_
_atom_site_label
_atom_site_fract_x
_atom_site_fract_y
_atom_site_fract_z
S1 0.2466 0.7506 0.0039
Er1 0.0000 0.0000 0.0000
S2 0.2468 0.7507 0.4935
S3 0.7520 0.7559 0.5040
Tb1 0.0000 0.5000 0.5000
S4 0.7534 0.2494 0.9961
Er2 0.5000 0.0000 0.0000
Er3 0.5000 0.0000 0.5000
Tb2 0.5000 0.5000 0.5000
S5 0.7532 0.2493 0.5065
Li1 0.0000 0.5000 0.0000
S6 0.2480 0.2441 0.4960
Er4 0.0000 0.0000 0.5000
S7 0.7573 0.7506 0.0039
S8 0.2427 0.2494 0.9961
Tb3 0.5000 0.5000 0.0000
```


Entry from Alexandria: a geometry-optimized Li4Tb3ErS8 structure (PBE-GGA).

Computed properties:
Symmetry: R-3m, No. 166
Energy relative to the elements, uncorrected: -1.85 eV/atom
Total magnetic moment: 0.00 μB per formula unit

CIF file:
```
data_Li4Tb3ErS8
_space_group_name_H-M_alt 'P 1'
_space_group_IT_number 1
_space_group_name_Hall 'P 1'
_cell_length_a 7.8401
_cell_length_b 7.6626
_cell_length_c 7.8377
_cell_angle_alpha 120.80
_cell_angle_beta 120.01
_cell_angle_gamma 90.00
loop_
_atom_site_label
_atom_site_fract_x
_atom_site_fract_y
_atom_site_fract_z
Er1 0.0000 0.5000 0.0000
S1 0.2488 0.7503 0.0020
Tb1 0.5000 0.5000 0.0000
S2 0.7532 0.7503 0.0020
S3 0.2493 0.2484 0.4986
Li1 0.5000 0.0000 0.5000
Tb2 0.0000 0.5000 0.5000
S4 0.7512 0.2497 0.9980
Li2 0.0000 0.0000 0.0000
S5 0.7512 0.2497 0.5024
Tb3 0.5000 0.5000 0.5000
S6 0.2488 0.7503 0.4976
Li3 0.5000 0.0000 0.0000
Li4 0.0000 0.0000 0.5000
S7 0.2468 0.2497 0.9980
S8 0.7507 0.7516 0.5014
```


Entry from Alexandria: a geometry-optimized Li3TbEr2S6 structure (PBE-GGA).

Computed properties:
Symmetry: C2/m, No. 12
Energy relative to the elements, uncorrected: -1.85 eV/atom
Total magnetic moment: 0.00 μB per formula unit

CIF file:
```
data_Li3TbEr2S6
_space_group_name_H-M_alt 'P 1'
_space_group_IT_number 1
_space_group_name_Hall 'P 1'
_cell_length_a 6.7485
_cell_length_b 6.7485
_cell_length_c 6.5672
_cell_angle_alpha 99.85
_cell_angle_beta 99.85
_cell_angle_gamma 120.01
loop_
_atom_site_label
_atom_site_fract_x
_atom_site_fract_y
_atom_site_fract_z
Er1 0.6666 0.3334 0.0000
S1 0.9170 0.5803 0.7506
S2 0.5803 0.9170 0.7506
Li1 0.5000 0.5000 0.5000
S3 0.0830 0.4197 0.2494
Er2 0.3334 0.6666 0.0000
S4 0.2535 0.2535 0.7500
Tb1 0.0000 0.0000 0.0000
Li2 0.8325 0.1675 0.5000
S5 0.7465 0.7465 0.2500
S6 0.4197 0.0830 0.2494
Li3 0.1675 0.8325 0.5000
```


Question: Which formula does entry 3 have?
Answer: Li2TbErS4